Compound: Au4ICl3
Source: the Open Quantum Materials Database
Functional: PBE
Structure: relaxed

The raw total energy comes out at -2.69 eV per atom.

The structure belongs to space group Cmm2 (No. 35); the cell edges are 6.206, 6.231 and 12.150 Å and the angles 90.00°, 90.00° and 90.00°. The inequivalent atoms are Au at (0.000, 0.250, 0.000), Au at (0.243, 0.000, 0.490), I at (0.000, 0.500, 0.660), Cl at (0.000, 0.000, 0.338), Cl at (0.000, 0.000, 0.855) and Cl at (0.000, 0.500, 0.144).

***

Compound: AuI6Cl
Source: the Open Quantum Materials Database
Functional: PBE
Structure: relaxed

The raw total energy comes out at -1.15 eV per atom.

The structure belongs to space group F-43m (No. 216); the cell edges are 10.762, 10.762 and 10.762 Å and the angles 90.00°, 90.00° and 90.00°. The inequivalent atoms are Au at (0.000, 0.000, 0.000), I at (0.015, 0.250, 0.250) and Cl at (0.250, 0.250, 0.750).

***

Compound: KAuI2Cl
Source: the Open Quantum Materials Database
Functional: PBE
Structure: relaxed

The raw total energy comes out at -2.60 eV per atom.

The structure belongs to space group I4/mmm (No. 139); the cell edges are 8.232, 8.232 and 11.132 Å and the angles 90.00°, 90.00° and 90.00°. The inequivalent atoms are K at (0.000, 0.500, 0.250), Au at (0.000, 0.000, 0.000), Au at (0.000, 0.000, 0.500), I at (0.232, 0.232, 0.000) and Cl at (0.000, 0.000, 0.292).

***

Compound: RbAuI2Cl
Source: the Open Quantum Materials Database
Functional: PBE
Structure: relaxed

Its energy above the lowest structure with this stoichiometry is 10 meV per atom.

The structure belongs to space group I4/mmm (No. 139); the cell edges are 8.284, 8.284 and 11.310 Å and the angles 90.00°, 90.00° and 90.00°. The inequivalent atoms are Rb at (0.000, 0.500, 0.250), Au at (0.000, 0.000, 0.000), Au at (0.000, 0.000, 0.500), I at (0.231, 0.231, 0.000) and Cl at (0.000, 0.000, 0.294).

***

Compound: RbAuI2Cl
Source: the Open Quantum Materials Database
Functional: PBE
Structure: relaxed

Its energy above the lowest structure with this stoichiometry is 0 meV per atom.

The structure belongs to space group C2/m (No. 12); the cell edges are 13.205, 8.088 and 8.526 Å and the angles 90.00°, 120.73° and 90.00°. The inequivalent atoms are Rb at (0.234, 0.000, 0.258), Au at (0.000, 0.000, 0.500), Au at (0.000, 0.500, 0.000), I at (0.033, 0.264, 0.806) and Cl at (0.204, 0.000, 0.628).

***

Compound: K2InAuCl6
Source: the Open Quantum Materials Database
Functional: PBE
Structure: relaxed

The raw total energy comes out at -3.11 eV per atom.

The structure belongs to space group Fm-3m (No. 225); the cell edges are 10.416, 10.416 and 10.416 Å and the angles 90.00°, 90.00° and 90.00°. The inequivalent atoms are K at (0.250, 0.250, 0.250), In at (0.000, 0.000, 0.000), Au at (0.000, 0.000, 0.500) and Cl at (0.000, 0.000, 0.245).

***

Compound: K2NaAuCl6
Source: the Open Quantum Materials Database
Functional: PBE
Structure: relaxed

The raw total energy comes out at -2.99 eV per atom.

The structure belongs to space group I4/mmm (No. 139); the cell edges are 7.224, 7.224 and 11.621 Å and the angles 90.00°, 90.00° and 90.00°. The inequivalent atoms are K at (0.000, 0.500, 0.250), Na at (0.000, 0.000, 0.000), Au at (0.000, 0.000, 0.500), Cl at (0.000, 0.000, 0.226) and Cl at (0.228, 0.228, 0.500).

***

Compound: K2SbAuCl6
Source: the Open Quantum Materials Database
Functional: PBE
Structure: relaxed

The raw total energy comes out at -3.16 eV per atom.

The structure belongs to space group Fm-3m (No. 225); the cell edges are 10.602, 10.602 and 10.602 Å and the angles 90.00°, 90.00° and 90.00°. The inequivalent atoms are K at (0.250, 0.250, 0.250), Sb at (0.000, 0.000, 0.000), Au at (0.000, 0.000, 0.500) and Cl at (0.000, 0.000, 0.249).